PBE-GGA ScCuIO2, optimized geometry; total energy = -4.70 eV/atom; V = 16.03 Å³/atom
1.0
4.057 0.000 0.000
0.000 4.057 0.000
0.000 0.000 4.871
Sc Cu I O
1 1 1 2
Cartesian
2.028 2.028 2.435 Sc
0.000 0.000 0.000 Cu
0.000 0.000 2.435 I
0.000 2.028 0.000 O
2.028 0.000 0.000 O



PBE-GGA ScCuIO2, optimized geometry; total energy = -5.52 eV/atom; V = 20.26 Å³/atom
1.0
-2.924 -1.509 2.233
0.213 -3.414 -2.029
4.328 -2.210 4.172
Sc Cu O I
1 1 2 1
Cartesian
0.000 0.000 0.000 Sc
0.808 -3.566 2.189 Cu
-1.462 -0.755 1.117 O
0.106 -1.707 -1.014 O
2.164 -1.105 2.086 I